Arrangement a

Material: MgZr2Pd3
Method: DFT, PBE
State: optimized geometry

It has space group P4/mmm (No. 123), with a = 3.2173 Å, b = 3.2173 Å, c = 10.4371 Å, α = 90.00°, β = 90.00° and γ = 90.00°. The asymmetric unit holds Mg at (0.0000, 0.0000, 0.0000), Zr at (0.0000, 0.0000, 0.3238), Pd at (0.5000, 0.5000, 0.1565) and Pd at (0.5000, 0.5000, 0.5000).

The total moment is 0.0 Bohr magnetons per cell. The calculation puts the density at 8.1 g/cm3. The volume comes out at 18.01 Å³ per atom.


Arrangement b

Material: MgZr2Pd3
Method: DFT, PBE
State: optimized geometry

It has space group P-3m1 (No. 164), with a = 4.6607 Å, b = 4.6607 Å, c = 11.5410 Å, α = 90.00°, β = 90.00° and γ = 120.00°. The asymmetric unit holds Mg at (0.3333, 0.6667, 0.1626), Zr at (0.0000, 0.0000, 0.0000), Zr at (0.0000, 0.0000, 0.5000), Zr at (0.3333, 0.6667, 0.6722), Pd at (0.0000, 0.0000, 0.2466), Pd at (0.3333, 0.6667, 0.4071) and Pd at (0.3333, 0.6667, 0.9191).

The total moment is 0.0 Bohr magnetons per cell. The calculation puts the density at 8.0 g/cm3. The volume comes out at 18.09 Å³ per atom.


arrangement b has the most favorable energy; the next structure is 0.008 eV/atom above.


Arrangement a

Material: Mg2Zr2Pd
Method: DFT, PBE
State: optimized geometry

It has space group I4/mmm (No. 139), with a = 3.8533 Å, b = 3.8533 Å, c = 15.1715 Å, α = 90.00°, β = 90.00° and γ = 90.00°. The asymmetric unit holds Mg at (0.0000, 0.0000, 0.0872), Zr at (0.0000, 0.5000, 0.2500) and Pd at (0.0000, 0.0000, 0.5000).

The total moment is 0.0 Bohr magnetons per cell. The calculation puts the density at 5.0 g/cm3. The volume comes out at 22.53 Å³ per atom.


Arrangement b

Material: Mg2Zr2Pd
Method: DFT, PBE
State: optimized geometry

It has space group P4/mbm (No. 127), with a = 6.5313 Å, b = 6.5313 Å, c = 4.8542 Å, α = 90.00°, β = 90.00° and γ = 90.00°. The asymmetric unit holds Mg at (0.1440, 0.3560, 0.0000), Zr at (0.1685, 0.6685, 0.5000) and Pd at (0.0000, 0.0000, 0.0000).

The total moment is 0.0 Bohr magnetons per cell. The calculation puts the density at 5.4 g/cm3. The volume comes out at 20.71 Å³ per atom.


arrangement b has the most favorable energy; the next structure is 0.336 eV/atom above.